# BiPd2C2

An optimized crystal structure of BiPd2C2 (GGA-PBE, the Alexandria database).

Summary:
Formation energy in eV/f.u.: 4.82
Spin magnetization in Bohr magnetons per cell: 0.00
Volume in Å³/cell: 150.98
E above lowest polymorph in eV per atom: 0.186

a = 6.0815 Å, b = 6.0815 Å, c = 4.0823 Å
α = 90.00°, β = 90.00°, γ = 90.00°
With the nearest neighbours (Å) after each atom.
Space group P4/mbm (No. 127)
Inequivalent atoms, fractional coordinates:
Bi1 0.0000 0.0000 0.0000 x2  4 C 2.62
Pd1 0.1648 0.3352 0.5000 x4  4 C 2.57, 1 Pd 2.83
C1 0.0767 0.5767 0.0000 x4  1 C 1.32

---

# SrLi2GaHg4

An optimized crystal structure of SrLi2GaHg4 (GGA-PBE, the Alexandria database).

Summary:
Formation energy in eV/f.u.: -2.61
Spin magnetization in Bohr magnetons per cell: 0.00
Volume in Å³/cell: 571.99

a = 4.6903 Å, b = 4.6903 Å, c = 30.0236 Å
α = 90.00°, β = 90.00°, γ = 120.00°
With the nearest neighbours (Å) after each atom.
Space group R-3m (No. 166, hexagonal axes)
Inequivalent atoms, fractional coordinates:
Sr1 0.0000 0.0000 0.0000 x3  6 Hg 3.32
Li1 0.0000 0.0000 0.2264 x6  7 Hg 2.76-3.06
Ga1 0.0000 0.0000 0.5000 x3  8 Hg 2.99-3.08, 6 Li 3.25
Hg1 0.0000 0.0000 0.1244 x6  4 Li 2.76-3.06, 3 Ga 2.99
Hg2 0.0000 0.0000 0.3975 x6  3 Li 3.00, 1 Ga 3.08, 3 Hg 3.26, 3 Sr 3.32